1.
First-principles (meta-GGA SCAN) data for a crystal of TiBe2F relaxed with PBEsol, as listed in the Alexandria database.

```
TiBe2F
1.0
4.081 0.000 0.000
2.040 3.534 0.000
2.040 1.178 3.332
Ti Be F
1 2 1
Direct
0.500 0.500 0.500
0.250 0.250 0.250
0.750 0.750 0.750
0.000 0.000 0.000
```

Properties
Uncorrected energy: -6.60 eV/atom
Uncorrected formation energy: 46 kJ per mole of atoms
Crystal system: cubic
Space group: Fm-3m

***

2.
First-principles (meta-GGA SCAN) data for a crystal of K5Te3 relaxed with PBEsol, as listed in the Alexandria database.

```
K5Te3
1.0
-1.998 -5.755 -1.684
7.981 -5.283 -3.277
0.577 -6.040 8.096
Te K
6 10
Direct
0.223 0.000 0.000
0.844 0.812 0.500
0.156 0.188 0.500
0.344 0.500 0.812
0.656 0.500 0.188
0.777 0.000 0.000
0.910 0.315 0.866
0.720 0.692 0.869
0.224 0.866 0.685
0.090 0.685 0.134
0.250 0.500 0.500
0.750 0.500 0.500
0.776 0.134 0.315
0.588 0.131 0.692
0.280 0.308 0.131
0.412 0.869 0.308
```

Properties
Uncorrected energy: -20.31 eV/atom
Uncorrected formation energy: -109 kJ per mole of atoms
Crystal system: tetragonal
Space group: I4/m

***

3.
First-principles (meta-GGA SCAN) data for a crystal of CaFe2Pt relaxed with PBEsol, as listed in the Alexandria database.

```
CaFe2Pt
1.0
3.816 0.000 0.000
0.000 3.816 0.000
-1.908 -1.908 4.296
Ca Pt Fe
1 1 2
Direct
0.000 0.000 0.000
0.500 0.500 0.000
0.750 0.250 0.500
0.250 0.750 0.500
```

Properties
Uncorrected energy: -28.99 eV/atom
Crystal system: tetragonal
Space group: I4/mmm
ΔH_f (0 K): 4 kJ per mole of atoms

***

4.
First-principles (meta-GGA SCAN) data for a crystal of BaMoPb2 relaxed with PBEsol, as listed in the Alexandria database.

```
BaMoPb2
1.0
-4.343 -1.447 2.236
4.356 -3.254 0.550
2.352 -0.077 4.519
Pb Ba Mo
2 1 1
Direct
0.750 0.500 0.750
0.250 0.500 0.250
0.500 0.000 0.500
0.000 0.000 0.000
```

Properties
Uncorrected energy: -56.15 eV/atom
Crystal system: tetragonal
Space group: I4/mmm
Energy above the most stable polymorph in this dataset: 70.6 kJ/mol of formula units
ΔH_f (0 K): 34 kJ per mole of atoms

***

5.
First-principles (meta-GGA SCAN) data for a crystal of AlZnPt2 relaxed with PBEsol, as listed in the Alexandria database.

```
AlZnPt2
1.0
2.818 0.000 0.000
0.000 4.525 -0.010
0.000 -1.010 4.411
Pt Al Zn
2 1 1
Direct
0.000 0.500 0.000
0.000 0.000 0.500
0.500 0.500 0.500
0.500 0.000 0.000
```

Properties
Uncorrected energy: -41.35 eV/atom
Crystal system: orthorhombic
Space group: Cmmm
ΔH_f (0 K): -90 kJ per mole of atoms

***

6.
First-principles (meta-GGA SCAN) data for a crystal of CaTe2 relaxed with PBEsol, as listed in the Alexandria database.

```
CaTe2
1.0
-1.005 -2.956 3.522
5.612 0.479 2.003
-2.061 5.901 4.364
Te Ca
4 2
Direct
0.000 0.180 0.614
0.500 0.680 0.886
0.500 0.320 0.114
0.000 0.820 0.386
0.500 0.500 0.500
0.000 0.000 0.000
```

Properties
Uncorrected energy: -29.17 eV/atom
Uncorrected formation energy: -108 kJ per mole of atoms
Crystal system: orthorhombic
Space group: Pnnm

***

7.
First-principles (meta-GGA SCAN) data for a crystal of BeTePd2Pt relaxed with PBEsol, as listed in the Alexandria database.

```
BeTePd2Pt
1.0
4.844 0.000 0.000
0.000 4.921 0.000
0.000 0.000 4.921
Pd Te Pt Be
2 1 1 1
Direct
0.000 0.000 0.500
0.000 0.500 0.000
0.500 0.000 0.000
0.000 0.000 0.000
0.500 0.500 0.500
```

Properties
Uncorrected energy: -34.38 eV/atom
Uncorrected formation energy: 105 kJ per mole of atoms
Crystal system: tetragonal
Space group: P4/mmm

***

8.
First-principles (meta-GGA SCAN) data for a crystal of MnInIr relaxed with PBEsol, as listed in the Alexandria database.

```
MnInIr
1.0
2.943 0.000 0.000
0.000 2.943 0.000
-1.471 -1.471 5.360
Mn In Ir
1 1 1
Direct
0.320 0.320 0.640
0.000 0.000 0.000
0.680 0.680 0.360
```

Properties
Uncorrected energy: -41.09 eV/atom
Crystal system: tetragonal
Space group: I4mm
ΔH_f (0 K): -17 kJ per mole of atoms

***

Q: Which value of uncorrected energy does entry 1 give?
A: -6.60 eV/atom